The following is a PBE-GGA calculation of a geometry-optimized CeSm2N3 structure, from the Alexandria database.

For the theoretical density, the calculation gives 8.3 g cm⁻³. The calculation puts the density of states at the Fermi level at 0.42 states/eV per atom. The formation energy (no corrections) comes out at -874 kJ/mol of formula units. The total energy comes out at -8.235 eV/atom. The magnetic moment is 0.0 μB/f.u.

It has space group C2/c (No. 15), with a = 6.189 Å, b = 10.728 Å, c = 6.195 Å, α = 90.00°, β = 109.45° and γ = 90.00°. The inequivalent atoms are Ce at (0.000, 0.084, 0.250), Sm at (0.000, 0.250, 0.750), Sm at (0.000, 0.417, 0.250), N at (0.239, 0.080, 0.001) and N at (0.250, 0.250, 0.500).